The following is a GGA-PBE calculation of a relaxed V4GaGe3 crystal, from Alexandria via LeMat-Bulk.

Values from the calculation:
Density of states at the Fermi level ... 0.767 states/eV per atom
ΔE_f ... -0.18 eV/atom
Calculated density ... 7.1 Mg/m³
Energy ... -6.849 eV per atom

Cell lengths 4.6422, 9.3303, 5.3149 Å; angles 90.00, 90.00, 90.00 degrees
Space group Pmmn (No. 59, origin choice 2)
Unique sites:
V: 0.2500 0.0017 0.1207 (multiplicity 4)
V: 0.2500 0.2500 0.8781 (multiplicity 2)
V: 0.2500 0.7500 0.8861 (multiplicity 2)
Ga: 0.2500 0.7500 0.3721 (multiplicity 2)
Ge: 0.2500 0.2500 0.3644 (multiplicity 2)
Ge: 0.2500 0.5016 0.6377 (multiplicity 4)

=====

The following is a GGA-PBE calculation of a relaxed VGaGe3 crystal, from Alexandria via LeMat-Bulk.

Values from the calculation:
Density of states at the Fermi level ... 1.785 states/eV per atom
Energy above the lowest structure with this stoichiometry ... 741 meV per atom
ΔE_f ... 0.97 eV/atom
Calculated density ... 4.9 Mg/m³
Energy ... -4.231 eV per atom

Cell lengths 4.8565, 4.8565, 4.8565 Å; angles 90.00, 90.00, 90.00 degrees
Space group Pm-3m (No. 221)
Unique sites:
V: 0.0000 0.0000 0.0000 (multiplicity 1)
Ga: 0.5000 0.5000 0.5000 (multiplicity 1)
Ge: 0.0000 0.5000 0.5000 (multiplicity 3)

=====

The following is a GGA-PBE calculation of a relaxed VGaGe crystal, from Alexandria via LeMat-Bulk.

Values from the calculation:
Density of states at the Fermi level ... 0.725 states/eV per atom
Energy above the lowest structure with this stoichiometry ... 122 meV per atom
ΔE_f ... 0.11 eV/atom
Calculated density ... 7.1 Mg/m³
Energy ... -5.477 eV per atom

Cell lengths 4.4975, 4.4975, 2.5825 Å; angles 90.00, 90.00, 120.00 degrees
Space group P-6m2 (No. 187)
Unique sites:
V: 0.0000 0.0000 0.0000 (multiplicity 1)
Ga: 0.3333 0.6667 0.5000 (multiplicity 1)
Ge: 0.6667 0.3333 0.5000 (multiplicity 1)

=====

The following is a GGA-PBE calculation of a relaxed V8Ga2Ge3 crystal, from Alexandria via LeMat-Bulk.

Values from the calculation:
Density of states at the Fermi level ... 1.024 states/eV per atom
ΔE_f ... 0.15 eV/atom
Calculated density ... 6.4 Mg/m³
Energy ... -6.991 eV per atom

Cell lengths 7.0371, 12.3973, 4.5453 Å; angles 90.00, 90.00, 90.00 degrees
Space group Cmmm (No. 65)
Unique sites:
V: 0.0000 0.1062 0.0000 (multiplicity 4)
V: 0.0000 0.3163 0.0000 (multiplicity 4)
V: 0.1738 0.4003 0.5000 (multiplicity 8)
Ga: 0.0000 0.2152 0.5000 (multiplicity 4)
Ge: 0.0000 0.0000 0.5000 (multiplicity 2)
Ge: 0.1876 0.5000 0.0000 (multiplicity 4)

=====

The following is a GGA-PBE calculation of a relaxed VGa2Ge4 crystal, from Alexandria via LeMat-Bulk.

Values from the calculation:
Density of states at the Fermi level ... 0.615 states/eV per atom
ΔE_f ... 0.37 eV/atom
Calculated density ... 5.2 Mg/m³
Energy ... -4.440 eV per atom

Cell lengths 4.8240, 4.8240, 13.2316 Å; angles 90.00, 90.00, 90.00 degrees
Space group I4/mmm (No. 139)
Unique sites:
V: 0.0000 0.0000 0.0000 (multiplicity 2)
Ga: 0.0000 0.0000 0.3782 (multiplicity 4)
Ge: 0.0000 0.0000 0.1850 (multiplicity 4)
Ge: 0.0000 0.5000 0.0000 (multiplicity 4)

=====

The following is a GGA-PBE calculation of a relaxed V5Ga4Ge crystal, from Alexandria via LeMat-Bulk.

Values from the calculation:
Density of states at the Fermi level ... 0.609 states/eV per atom
ΔE_f ... 0.21 eV/atom
Calculated density ... 6.4 Mg/m³
Energy ... -6.025 eV per atom

Cell lengths 7.9308, 7.9308, 5.0158 Å; angles 90.00, 90.00, 90.00 degrees
Space group I4/m (No. 87)
Unique sites:
V: 0.0000 0.0000 0.0000 (multiplicity 2)
V: 0.0987 0.2946 0.5000 (multiplicity 8)
Ga: 0.0982 0.3014 0.0000 (multiplicity 8)
Ge: 0.0000 0.0000 0.5000 (multiplicity 2)

=====

The following is a GGA-PBE calculation of a relaxed V12Ga2Ge5 crystal, from Alexandria via LeMat-Bulk.

Values from the calculation:
Density of states at the Fermi level ... 0.822 states/eV per atom
ΔE_f ... 0.18 eV/atom
Calculated density ... 6.1 Mg/m³
Energy ... -7.118 eV per atom

Cell lengths 12.7792, 6.3280, 7.5480 Å; angles 90.00, 91.52, 90.00 degrees
Space group C2/m (No. 12)
Unique sites:
V: 0.0400 0.0000 0.3124 (multiplicity 4)
V: 0.0445 0.5000 0.1958 (multiplicity 4)
V: 0.1248 0.2110 0.5520 (multiplicity 8)
V: 0.1819 0.2715 0.1429 (multiplicity 8)
Ga: 0.0000 0.2005 0.0000 (multiplicity 4)
Ge: 0.0000 0.5000 0.5000 (multiplicity 2)
Ge: 0.1579 0.0000 0.8500 (multiplicity 4)
Ge: 0.2462 0.0000 0.3582 (multiplicity 4)

=====

The following is a GGA-PBE calculation of a relaxed V7Ga3Ge crystal, from Alexandria via LeMat-Bulk.

Values from the calculation:
Density of states at the Fermi level ... 0.903 states/eV per atom
ΔE_f ... -0.02 eV/atom
Calculated density ... 6.6 Mg/m³
Energy ... -7.064 eV per atom

Cell lengths 2.6262, 20.2123, 12.1338 Å; angles 90.00, 90.00, 90.00 degrees
Space group Cmcm (No. 63)
Unique sites:
V: 0.0000 0.0358 0.0913 (multiplicity 8)
V: 0.0000 0.0902 0.5938 (multiplicity 8)
V: 0.0000 0.2042 0.2500 (multiplicity 4)
V: 0.0000 0.2197 0.5865 (multiplicity 8)
Ga: 0.0000 0.3371 0.2500 (multiplicity 4)
Ga: 0.0000 0.3493 0.5770 (multiplicity 8)
Ge: 0.0000 0.4810 0.2500 (multiplicity 4)